CdNi2 PBE-GGA relaxed; electronic total energy = -3.28 eV/atom; ΔE_f = 254 kJ/mol of formula units; DOS(E_F) = 5.94 states/eV/f.u.; total moment = 1.6 Bohr magnetons per cell; V = 17.7 Å³ per atom
1.0
5.963 0.000 0.000
0.000 5.963 0.000
0.000 0.000 5.963
Ni Cd
8 4
direct
0.110 0.610 0.890
0.110 0.890 0.390
0.390 0.110 0.890
0.390 0.390 0.390
0.610 0.610 0.610
0.610 0.890 0.110
0.890 0.110 0.610
0.890 0.390 0.110
0.000 0.000 0.000
0.000 0.500 0.500
0.500 0.000 0.500
0.500 0.500 0.000